# 1
The following is a DFT calculation (meta-GGA SCAN) of MgHg2 at its PBEsol-relaxed geometry.

Properties
Its formation energy is -3.8 kcal/mol of atoms. The value obtained for the density is 10.809 g/cm3.

Cell and atoms, written as POSCAR:
```
MgHg2
1.0
4.665 0.000 0.000
-2.333 4.040 0.000
0.000 0.000 3.468
Mg Hg
1 2
direct
0.000 0.000 0.000 Mg
0.333 0.667 0.657 Hg
0.667 0.333 0.343 Hg
```

# 2
The following is a DFT calculation (meta-GGA SCAN) of Mg5Hg4 at its PBEsol-relaxed geometry.

Properties
Its formation energy is -8.0 kcal/mol of atoms. The value obtained for the offset from the most stable computed form is 0.0 meV per atom. The value obtained for the density is 8.185 g/cm3.

Cell and atoms, written as POSCAR:
```
Mg5Hg4
1.0
8.460 0.000 0.000
-4.230 7.326 0.000
0.000 0.000 6.048
Mg Hg
10 8
direct
0.000 0.295 0.250 Mg
0.000 0.705 0.750 Mg
0.295 0.000 0.250 Mg
0.295 0.295 0.750 Mg
0.333 0.667 0.000 Mg
0.333 0.667 0.500 Mg
0.667 0.333 0.000 Mg
0.667 0.333 0.500 Mg
0.705 0.000 0.750 Mg
0.705 0.705 0.250 Mg
0.000 0.000 0.000 Hg
0.000 0.000 0.500 Hg
0.000 0.374 0.750 Hg
0.000 0.626 0.250 Hg
0.374 0.000 0.750 Hg
0.374 0.374 0.250 Hg
0.626 0.000 0.250 Hg
0.626 0.626 0.750 Hg
```

# 3
The following is a DFT calculation (meta-GGA SCAN) of MgHg2 at its PBEsol-relaxed geometry.

Properties
Its formation energy is -4.1 kcal/mol of atoms. The value obtained for the density is 11.037 g/cm3.

Cell and atoms, written as POSCAR:
```
MgHg2
1.0
3.076 -3.086 0.000
3.076 3.086 0.000
-2.462 0.000 13.487
Mg Hg
4 8
direct
0.066 0.791 0.594 Mg
0.209 0.934 0.906 Mg
0.791 0.066 0.094 Mg
0.934 0.209 0.406 Mg
0.148 0.356 0.749 Hg
0.281 0.570 0.077 Hg
0.356 0.148 0.249 Hg
0.430 0.719 0.423 Hg
0.570 0.281 0.577 Hg
0.644 0.852 0.751 Hg
0.719 0.430 0.923 Hg
0.852 0.644 0.251 Hg
```

# 4
The following is a DFT calculation (meta-GGA SCAN) of MgHg2 at its PBEsol-relaxed geometry.

Properties
Its formation energy is -5.1 kcal/mol of atoms. The value obtained for the density is 11.111 g/cm3.

Cell and atoms, written as POSCAR:
```
MgHg2
1.0
3.813 0.000 0.000
0.000 3.813 0.000
0.000 0.000 8.748
Mg Hg
2 4
direct
0.000 0.000 0.000 Mg
0.500 0.500 0.500 Mg
0.000 0.000 0.333 Hg
0.000 0.000 0.667 Hg
0.500 0.500 0.167 Hg
0.500 0.500 0.833 Hg
```

# 5
The following is a DFT calculation (meta-GGA SCAN) of MgHg3 at its PBEsol-relaxed geometry.

Properties
Its formation energy is -3.0 kcal/mol of atoms. The value obtained for the density is 11.953 g/cm3.

Cell and atoms, written as POSCAR:
```
MgHg3
1.0
3.458 0.000 0.000
0.000 4.102 0.000
0.000 0.000 6.132
Mg Hg
1 3
direct
0.000 0.000 0.000 Mg
0.000 0.000 0.500 Hg
0.500 0.500 0.242 Hg
0.500 0.500 0.758 Hg
```

# 6
The following is a DFT calculation (meta-GGA SCAN) of MgHg3 at its PBEsol-relaxed geometry.

Properties
Its formation energy is -3.1 kcal/mol of atoms. The value obtained for the density is 11.957 g/cm3.

Cell and atoms, written as POSCAR:
```
MgHg3
1.0
3.774 0.000 0.000
0.000 3.774 0.000
0.000 0.000 6.106
Mg Hg
1 3
direct
0.000 0.000 0.000 Mg
0.000 0.000 0.500 Hg
0.500 0.500 0.244 Hg
0.500 0.500 0.756 Hg
```

# 7
The following is a DFT calculation (meta-GGA SCAN) of MgHg2 at its PBEsol-relaxed geometry.

Properties
Its formation energy is -5.1 kcal/mol of atoms. The value obtained for the density is 11.081 g/cm3.

Cell and atoms, written as POSCAR:
```
MgHg2
1.0
3.721 0.000 0.000
0.000 3.952 0.000
0.000 0.000 8.671
Mg Hg
2 4
direct
0.000 0.000 0.000 Mg
0.500 0.500 0.500 Mg
0.000 0.000 0.332 Hg
0.000 0.000 0.668 Hg
0.500 0.500 0.168 Hg
0.500 0.500 0.832 Hg
```

# 8
The following is a DFT calculation (meta-GGA SCAN) of Mg2Hg at its PBEsol-relaxed geometry.

Properties
Its formation energy is -8.6 kcal/mol of atoms. The value obtained for the density is 6.612 g/cm3.

Cell and atoms, written as POSCAR:
```
Mg2Hg
1.0
7.963 0.000 0.000
-3.981 6.896 0.000
0.000 0.000 3.419
Mg Hg
6 3
direct
0.000 0.283 0.000 Mg
0.000 0.621 0.500 Mg
0.283 0.000 0.000 Mg
0.379 0.379 0.500 Mg
0.621 0.000 0.500 Mg
0.717 0.717 0.000 Mg
0.000 0.000 0.500 Hg
0.333 0.667 0.000 Hg
0.667 0.333 0.000 Hg
```